Entry 1:
{
  "formula": "BaNdIO6",
  "functional": "PBE",
  "state": "relaxed",
  "lattice_angstrom": [[5.8376, 0.0000, 0.0000], [-2.9188, 5.0555, 0.0000], [0.0000, 0.0000, 5.5244]],
  "species": ["Ba", "Nd", "I", "O", "O", "O", "O", "O", "O"],
  "frac_coords": [[0.0000, 0.0000, 0.0000], [0.3333, 0.6667, 0.5000], [0.6667, 0.3333, 0.5000], [0.4040, 0.0579, 0.6978], [0.4040, 0.3461, 0.3022], [0.6539, 0.0579, 0.3022], [0.6539, 0.5960, 0.6978], [0.9421, 0.3461, 0.6978], [0.9421, 0.5960, 0.3022]],
  "magnetic_moment_mub_per_fu": 0.0,
  "dft_energy_ev_per_atom": -6.045,
  "crystal_system": "trigonal",
  "spacegroup": "P312 (149)",
  "e_form_raw_ev_per_atom": -1.82
}

***

Entry 2:
{
  "formula": "Ba2NdP2I2",
  "functional": "PBE",
  "state": "relaxed",
  "lattice_angstrom": [[5.4831, 0.0000, 0.0000], [0.0000, 5.4831, 0.0000], [0.0000, 0.0000, 17.8879]],
  "species": ["Ba", "Ba", "Ba", "Ba", "Nd", "Nd", "P", "P", "P", "P", "I", "I", "I", "I"],
  "frac_coords": [[0.0000, 0.0000, 0.1133], [0.0000, 0.0000, 0.8867], [0.5000, 0.5000, 0.3867], [0.5000, 0.5000, 0.6133], [0.0000, 0.0000, 0.5000], [0.5000, 0.5000, 0.0000], [0.0000, 0.5000, 0.0000], [0.0000, 0.5000, 0.5000], [0.5000, 0.0000, 0.0000], [0.5000, 0.0000, 0.5000], [0.0000, 0.0000, 0.3160], [0.0000, 0.0000, 0.6840], [0.5000, 0.5000, 0.1840], [0.5000, 0.5000, 0.8160]],
  "magnetic_moment_mub_per_fu": 0.0,
  "dft_energy_ev_per_atom": -4.514,
  "crystal_system": "tetragonal",
  "spacegroup": "I4/mmm (139)",
  "e_form_raw_ev_per_atom": -1.30
}

***

Entry 3:
{
  "formula": "BaNdSbI",
  "functional": "PBE",
  "state": "relaxed",
  "lattice_angstrom": [[2.5747, 1.4865, 15.8967], [-2.5747, 1.4865, 15.8967], [0.0000, -2.9730, 15.8967]],
  "species": ["Ba", "Ba", "Nd", "Nd", "Sb", "Sb", "I", "I"],
  "frac_coords": [[0.0915, 0.0915, 0.0915], [0.9085, 0.9085, 0.9085], [0.3097, 0.3097, 0.3097], [0.6903, 0.6903, 0.6903], [0.3797, 0.3797, 0.3797], [0.6203, 0.6203, 0.6203], [0.2046, 0.2046, 0.2046], [0.7954, 0.7954, 0.7954]],
  "magnetic_moment_mub_per_fu": 0.7,
  "dft_energy_ev_per_atom": -4.272,
  "crystal_system": "trigonal",
  "spacegroup": "R-3m (166)",
  "e_form_raw_ev_per_atom": -1.18
}

***

Entry 4:
{
  "formula": "BaNdTlI6",
  "functional": "PBE",
  "state": "relaxed",
  "lattice_angstrom": [[8.5434, 0.0000, 0.0000], [-4.2717, 7.3988, 0.0000], [0.0000, 0.0000, 14.8280]],
  "species": ["Ba", "Ba", "Nd", "Nd", "Tl", "Tl", "I", "I", "I", "I", "I", "I", "I", "I", "I", "I", "I", "I"],
  "frac_coords": [[0.3333, 0.6667, 0.2500], [0.6667, 0.3333, 0.7500], [0.3333, 0.6667, 0.7500], [0.6667, 0.3333, 0.2500], [0.0000, 0.0000, 0.0000], [0.0000, 0.0000, 0.5000], [0.0301, 0.3708, 0.6272], [0.0301, 0.6593, 0.8728], [0.3407, 0.3708, 0.8728], [0.3407, 0.9699, 0.6272], [0.3708, 0.0301, 0.1272], [0.3708, 0.3407, 0.3728], [0.6292, 0.6593, 0.6272], [0.6292, 0.9699, 0.8728], [0.6593, 0.0301, 0.3728], [0.6593, 0.6292, 0.1272], [0.9699, 0.3407, 0.1272], [0.9699, 0.6292, 0.3728]],
  "magnetic_moment_mub_per_fu": 0.0,
  "dft_energy_ev_per_atom": -3.399,
  "crystal_system": "trigonal",
  "spacegroup": "P-31c (163)",
  "e_form_raw_ev_per_atom": -1.36
}

***

Entry 5:
{
  "formula": "Ba2NiI",
  "functional": "PBE",
  "state": "relaxed",
  "lattice_angstrom": [[8.5275, 0.0000, 0.0000], [0.0000, 8.5275, 0.0000], [0.0000, 0.0000, 9.3478]],
  "species": ["Ba", "Ba", "Ba", "Ba", "Ba", "Ba", "Ba", "Ba", "Ni", "Ni", "Ni", "Ni", "I", "I", "I", "I"],
  "frac_coords": [[0.1929, 0.2500, 0.1250], [0.2500, 0.6929, 0.3750], [0.2500, 0.8071, 0.8750], [0.3071, 0.2500, 0.6250], [0.6929, 0.7500, 0.6250], [0.7500, 0.1929, 0.8750], [0.7500, 0.3071, 0.3750], [0.8071, 0.7500, 0.1250], [0.0000, 0.0000, 0.0000], [0.0000, 0.5000, 0.2500], [0.5000, 0.0000, 0.7500], [0.5000, 0.5000, 0.5000], [0.0000, 0.0000, 0.5000], [0.0000, 0.5000, 0.7500], [0.5000, 0.0000, 0.2500], [0.5000, 0.5000, 0.0000]],
  "magnetic_moment_mub_per_fu": 0.9,
  "de_polymorph_mev_per_atom": 214,
  "dft_energy_ev_per_atom": -3.204,
  "crystal_system": "tetragonal",
  "spacegroup": "I-42d (122)",
  "e_form_raw_ev_per_atom": -0.41
}

***

Entry 6:
{
  "formula": "Ba2NiI6",
  "functional": "PBE",
  "state": "relaxed",
  "lattice_angstrom": [[7.6614, 0.0000, 0.0000], [0.0000, 8.6852, 0.0000], [-7.5080, 0.0000, 10.9525]],
  "species": ["Ba", "Ba", "Ba", "Ba", "Ni", "Ni", "I", "I", "I", "I", "I", "I", "I", "I", "I", "I", "I", "I"],
  "frac_coords": [[0.2178, 0.1034, 0.2556], [0.2178, 0.3966, 0.7556], [0.7822, 0.6034, 0.2444], [0.7822, 0.8966, 0.7444], [0.5000, 0.0000, 0.0000], [0.5000, 0.5000, 0.5000], [0.1505, 0.1650, 0.9548], [0.1505, 0.3350, 0.4548], [0.2871, 0.7110, 0.9543], [0.2871, 0.7890, 0.4543], [0.3500, 0.0134, 0.7572], [0.3500, 0.4866, 0.2572], [0.6500, 0.5134, 0.7428], [0.6500, 0.9866, 0.2428], [0.7129, 0.2110, 0.5457], [0.7129, 0.2890, 0.0457], [0.8495, 0.6650, 0.5452], [0.8495, 0.8350, 0.0452]],
  "magnetic_moment_mub_per_fu": 2.0,
  "de_polymorph_mev_per_atom": 0,
  "dft_energy_ev_per_atom": -3.290,
  "crystal_system": "monoclinic",
  "spacegroup": "P2_1/c (14)",
  "e_form_raw_ev_per_atom": -1.19
}

***

Entry 7:
{
  "formula": "BaNi3I",
  "functional": "PBE",
  "state": "relaxed",
  "lattice_angstrom": [[5.0196, 0.0000, 0.0000], [0.0000, 5.0196, 0.0000], [0.0000, 0.0000, 5.0196]],
  "species": ["Ba", "Ni", "Ni", "Ni", "I"],
  "frac_coords": [[0.0000, 0.0000, 0.0000], [0.0000, 0.0000, 0.5000], [0.0000, 0.5000, 0.0000], [0.5000, 0.0000, 0.0000], [0.5000, 0.5000, 0.5000]],
  "magnetic_moment_mub_per_fu": 0.0,
  "de_polymorph_mev_per_atom": 1081,
  "dft_energy_ev_per_atom": -2.592,
  "crystal_system": "cubic",
  "spacegroup": "Pm-3m (221)",
  "e_form_raw_ev_per_atom": 1.57
}

***

Entry 8:
{
  "formula": "Ba2NiI",
  "functional": "PBE",
  "state": "relaxed",
  "lattice_angstrom": [[4.5321, 0.0000, 0.0000], [-2.2660, 3.9249, 0.0000], [0.0000, 0.0000, 26.4610]],
  "species": ["Ba", "Ba", "Ba", "Ba", "Ba", "Ba", "Ni", "Ni", "Ni", "I", "I", "I"],
  "frac_coords": [[0.0000, 0.0000, 0.0000], [0.0000, 0.0000, 0.2006], [0.3333, 0.6667, 0.6667], [0.3333, 0.6667, 0.8672], [0.6667, 0.3333, 0.3333], [0.6667, 0.3333, 0.5339], [0.0000, 0.0000, 0.6004], [0.3333, 0.6667, 0.2671], [0.6667, 0.3333, 0.9338], [0.0000, 0.0000, 0.4332], [0.3333, 0.6667, 0.0998], [0.6667, 0.3333, 0.7665]],
  "magnetic_moment_mub_per_fu": 0.0,
  "de_polymorph_mev_per_atom": 10,
  "dft_energy_ev_per_atom": -3.408,
  "crystal_system": "trigonal",
  "spacegroup": "R3m (160)",
  "e_form_raw_ev_per_atom": -0.61
}